# 1
Below is a geometry-optimized CrCdNi2 structure, with properties calculated at the GGA-PBE level.

Cell: 2.827 4.743 5.342 Å, 52.25 90.00 90.00°
Atoms (fractional coordinates):
1 Ni 0.000 0.000 0.000
2 Ni 0.500 0.500 0.000
3 Cd 0.500 0.500 0.500
4 Cr 0.000 0.000 0.500

## Properties
Symmetry: P2/m
Calculated density, g cm⁻³: 8.3
Total magnetization, μB/f.u.: 4.140
Energy, eV per atom: -5.18



# 2
Below is a geometry-optimized Tl5GaHg6 structure, with properties calculated at the GGA-PBE level.

Cell: 6.117 8.041 8.041 Å, 108.57 101.89 101.89°
Atoms (fractional coordinates):
1 Tl 0.500 0.814 0.186
2 Tl 0.000 0.657 0.343
3 Tl 0.500 0.500 0.500
4 Tl 0.000 0.343 0.657
5 Tl 0.500 0.186 0.814
6 Hg 0.780 0.927 0.615
7 Hg 0.745 0.225 0.225
8 Hg 0.780 0.615 0.927
9 Hg 0.255 0.775 0.775
10 Hg 0.220 0.073 0.385
11 Hg 0.220 0.385 0.073
12 Ga 0.000 0.000 0.000

## Properties
Symmetry: C2/m
Calculated density, g cm⁻³: 10.9
Total magnetization, μB/f.u.: 0.000
Energy, eV per atom: -1.38



# 3
Below is a geometry-optimized CdB2I structure, with properties calculated at the GGA-PBE level.

Cell: 4.689 4.689 4.689 Å, 60.00 60.00 60.00°
Atoms (fractional coordinates):
1 I 0.500 0.500 0.500
2 B 0.250 0.250 0.250
3 B 0.750 0.750 0.750
4 Cd 0.000 0.000 0.000

## Properties
Symmetry: Fm-3m
Offset from the most stable computed form, meV/atom: 530
Calculated density, g cm⁻³: 5.9
Total magnetization, μB/f.u.: 0.000
Energy, eV per atom: -1.97
Formation energy from raw total energies, eV per formula unit: 7.94



# 4
Below is a geometry-optimized AlTl2Cl5 structure, with properties calculated at the GGA-PBE level.

Cell: 9.881 9.435 12.878 Å, 90.00 108.25 90.00°
Atoms (fractional coordinates):
1 Cl 0.787 0.050 0.619
2 Cl 0.514 0.235 0.384
3 Cl 0.844 0.936 0.295
4 Cl 0.656 0.436 0.705
5 Cl 0.048 0.368 0.887
6 Cl 0.986 0.735 0.616
7 Cl 0.486 0.614 0.869
8 Cl 0.986 0.886 0.869
9 Cl 0.213 0.950 0.381
10 Cl 0.713 0.550 0.381
11 Cl 0.344 0.564 0.295
12 Cl 0.952 0.632 0.113
13 Cl 0.548 0.132 0.887
14 Cl 0.514 0.386 0.131
15 Cl 0.156 0.064 0.705
16 Cl 0.287 0.450 0.619
17 Cl 0.014 0.265 0.384
18 Cl 0.486 0.765 0.616
19 Cl 0.452 0.868 0.113
20 Cl 0.014 0.114 0.131
21 Tl 0.039 0.629 0.351
22 Tl 0.797 0.371 0.981
23 Tl 0.961 0.371 0.649
24 Tl 0.297 0.129 0.981
25 Tl 0.203 0.629 0.019
26 Tl 0.539 0.871 0.351
27 Tl 0.461 0.129 0.649
28 Tl 0.703 0.871 0.019
29 Al 0.024 0.072 0.298
30 Al 0.476 0.572 0.702
31 Al 0.976 0.928 0.702
32 Al 0.524 0.428 0.298

## Properties
Symmetry: P2_1/c
Offset from the most stable computed form, meV/atom: 0
Calculated density, g cm⁻³: 3.6
Total magnetization, μB/f.u.: 0.000
Energy, eV per atom: -3.54
Formation energy from raw total energies, eV per formula unit: -10.60